Material: ZnP2H4O4
Method: DFT, SCAN
State: single point on PBEsol structure

electronic total energy: -173.593 eV/cell

abc: 6.4321 5.3672 7.2414
angles: 90.00 90.00 90.00
Atoms (fractional coordinates):
1 Zn 0.0000 0.0000 0.0000
2 Zn 0.5000 0.0000 0.0000
3 P 0.2500 0.0000 0.3814
4 P 0.2500 0.5000 0.8543
5 P 0.7500 0.0000 0.6186
6 P 0.7500 0.5000 0.1457
7 H 0.0732 0.5000 0.7371
8 H 0.2500 0.2087 0.5024
9 H 0.2500 0.7913 0.5024
10 H 0.4268 0.5000 0.7371
11 H 0.5732 0.5000 0.2629
12 H 0.7500 0.2087 0.4976
13 H 0.7500 0.7913 0.4976
14 H 0.9268 0.5000 0.2629
15 O 0.0463 0.0000 0.2738
16 O 0.2500 0.2595 0.9681
17 O 0.2500 0.7405 0.9681
18 O 0.4537 0.0000 0.2738
19 O 0.5463 0.0000 0.7262
20 O 0.7500 0.2595 0.0319
21 O 0.7500 0.7405 0.0319
22 O 0.9537 0.0000 0.7262